The following is a PBE calculation of a relaxed CaZn crystal, from Alexandria via LeMat-Bulk.

Values from the calculation:
ΔH_f (0 K) = -237.5 meV/atom
D(E_F) = 0.721 states/eV per atom

Structure (extended XYZ):
```
2
Lattice="3.675 0.000 0.000 0.000 3.675 0.000 0.000 0.000 3.675" Properties=species:S:1:pos:R:3 pbc="T T T"
Zn 1.837 1.837 1.837
Ca 0.000 0.000 0.000
```

***

The following is a PBE calculation of a relaxed KPdBr2O crystal, from Alexandria via LeMat-Bulk.

Values from the calculation:
Uncorrected formation energy = -0.733 eV per atom
D(E_F) = 0.385 states/eV per atom

Structure (extended XYZ):
```
5
Lattice="-1.763 -4.093 -3.211 3.577 1.507 -3.886 2.696 -2.383 1.558" Properties=species:S:1:pos:R:3 pbc="T T T"
K 2.255 -2.484 -2.770
O 1.348 -1.191 0.779
Br -0.881 -2.047 -1.605
Pd 0.000 0.000 0.000
Br 1.789 0.754 -1.943
```

***

The following is a PBE calculation of a relaxed Pr12RhPb6 crystal, from Alexandria via LeMat-Bulk.

Values from the calculation:
ΔH_f (0 K) = -368.2 meV/atom
D(E_F) = 1.212 states/eV per atom

Structure (extended XYZ):
```
19
Lattice="8.711 0.483 0.579 -0.843 8.684 0.579 -0.843 -0.982 8.648" Properties=species:S:1:pos:R:3 pbc="T T T"
Pr 3.989 3.400 7.530
Pb 6.036 3.351 1.822
Pb 2.397 0.636 6.695
Pr 1.823 8.371 1.448
Pb 0.990 4.834 7.983
Pr 0.908 3.211 5.114
Pr -0.347 1.791 8.495
Pr 3.036 4.785 2.276
Pr -0.973 7.309 6.525
Pr 2.756 6.612 5.732
Pr 5.202 -0.186 8.357
Rh 0.000 0.000 0.000
Pb 4.629 7.549 3.110
Pb 0.266 6.147 3.622
Pr 7.372 6.394 1.310
Pr 4.269 1.573 4.073
Pr 6.117 4.974 4.691
Pb 6.760 2.038 6.183
Pr 7.998 0.876 3.280
```

***

no.,calculated volume (Å³ per cell),calculated total energy (eV/atom)
1,49.63,-1.875
2,118.29,-3.652
3,667.15,-4.945